The following is a DFT calculation (SCAN) of a crystal of K3PSe3 relaxed with PBEsol.

Values from the calculation:
Formation energy from raw total energies ... -24.0 kcal/mol of atoms
Space group ... No. 198
Mass density ... 2.87 g cm⁻³
D(E_F) ... 0.0 states/eV per cell
E_tot ... -14.6989 eV per atom

Lattice parameters (Å, degrees): 9.623 9.623 9.623 90.00 90.00 90.00
Fractional positions:
K: 0.079 0.079 0.079
K: 0.186 0.314 0.686
K: 0.186 0.686 0.814
K: 0.314 0.314 0.314
K: 0.314 0.686 0.186
K: 0.421 0.921 0.579
K: 0.579 0.421 0.921
K: 0.686 0.186 0.314
K: 0.686 0.814 0.186
K: 0.814 0.186 0.686
K: 0.814 0.814 0.814
K: 0.921 0.579 0.421
P: 0.022 0.978 0.478
P: 0.478 0.022 0.978
P: 0.522 0.522 0.522
P: 0.978 0.478 0.022
Se: 0.009 0.204 0.403
Se: 0.097 0.991 0.704
Se: 0.204 0.403 0.009
Se: 0.296 0.597 0.509
Se: 0.403 0.009 0.204
Se: 0.491 0.796 0.903
Se: 0.509 0.296 0.597
Se: 0.597 0.509 0.296
Se: 0.704 0.097 0.991
Se: 0.796 0.903 0.491
Se: 0.903 0.491 0.796
Se: 0.991 0.704 0.097

---

The following is a DFT calculation (SCAN) of a crystal of TcBi2BBr relaxed with PBEsol.

Values from the calculation:
Formation energy from raw total energies ... 46.4 kcal/mol of atoms
Space group ... No. 123
Mass density ... 8.37 g cm⁻³
D(E_F) ... 3.4 states/eV per cell
E_tot ... -41.8081 eV per atom

Lattice parameters (Å, degrees): 5.517 5.517 3.955 90.00 90.00 90.00
Fractional positions:
Tc: 0.000 0.000 0.000
Bi: 0.000 0.500 0.500
Bi: 0.500 0.000 0.500
B: 0.500 0.500 0.000
Br: 0.500 0.500 0.500

---

The following is a DFT calculation (SCAN) of a crystal of CaMnTe2 relaxed with PBEsol.

Values from the calculation:
Formation energy from raw total energies ... -26.0 kcal/mol of atoms
Space group ... No. 166
Mass density ... 5.35 g cm⁻³
E_tot ... -26.7327 eV per atom

Lattice parameters (Å, degrees): 7.399 7.399 7.399 33.32 33.32 33.32
Fractional positions:
Ca: 0.000 0.000 0.000
Mn: 0.500 0.500 0.500
Te: 0.240 0.240 0.240
Te: 0.760 0.760 0.760

---

The following is a DFT calculation (SCAN) of a crystal of Li2InIr relaxed with PBEsol.

Values from the calculation:
Space group ... No. 6
Mass density ... 8.72 g cm⁻³
D(E_F) ... 1.9 states/eV per cell
DFT formation energy ... -0.204 eV per atom
E_tot ... -27.5200 eV per atom

Lattice parameters (Å, degrees): 2.795 4.092 5.476 90.00 102.71 90.00
Fractional positions:
Li: 0.000 0.000 0.000
Li: 0.327 0.500 0.232
In: 0.885 0.000 0.519
Ir: 0.473 0.500 0.764

---

The following is a DFT calculation (SCAN) of a crystal of K4P relaxed with PBEsol.

Values from the calculation:
Space group ... No. 229
Mass density ... 1.37 g cm⁻³
D(E_F) ... 2.0 states/eV per cell
DFT formation energy ... -0.153 eV per atom
E_tot ... -8.8961 eV per atom

Lattice parameters (Å, degrees): 6.660 6.660 6.660 109.47 109.47 109.47
Fractional positions:
K: 0.000 0.000 0.500
K: 0.000 0.500 0.000
K: 0.500 0.000 0.000
K: 0.500 0.500 0.500
P: 0.000 0.000 0.000

---

The following is a DFT calculation (SCAN) of a crystal of LiTlOs3 relaxed with PBEsol.

Values from the calculation:
Space group ... No. 221
Mass density ... 10.61 g cm⁻³
D(E_F) ... 5.2 states/eV per cell
DFT formation energy ... 3.167 eV per atom
E_tot ... -54.9103 eV per atom

Lattice parameters (Å, degrees): 4.966 4.966 4.966 90.00 90.00 90.00
Fractional positions:
Li: 0.000 0.000 0.000
Tl: 0.500 0.500 0.500
Os: 0.000 0.500 0.500
Os: 0.500 0.000 0.500
Os: 0.500 0.500 0.000

---

The following is a DFT calculation (SCAN) of a crystal of Zn5Ni4 relaxed with PBEsol.

Values from the calculation:
Space group ... No. 193
Mass density ... 8.70 g cm⁻³
D(E_F) ... 9.7 states/eV per cell
DFT formation energy ... -0.108 eV per atom
E_tot ... -14.8042 eV per atom

Lattice parameters (Å, degrees): 7.091 7.091 4.926 90.00 90.00 120.00
Fractional positions:
Zn: 0.000 0.303 0.250
Zn: 0.000 0.697 0.750
Zn: 0.303 0.000 0.250
Zn: 0.303 0.303 0.750
Zn: 0.333 0.667 0.000
Zn: 0.333 0.667 0.500
Zn: 0.667 0.333 0.000
Zn: 0.667 0.333 0.500
Zn: 0.697 0.000 0.750
Zn: 0.697 0.697 0.250
Ni: 0.000 0.000 0.000
Ni: 0.000 0.000 0.500
Ni: 0.000 0.360 0.750
Ni: 0.000 0.640 0.250
Ni: 0.360 0.000 0.750
Ni: 0.360 0.360 0.250
Ni: 0.640 0.000 0.250
Ni: 0.640 0.640 0.750

---

The following is a DFT calculation (SCAN) of a crystal of TaAgMo2 relaxed with PBEsol.

Values from the calculation:
Space group ... No. 12
Mass density ... 12.44 g cm⁻³
D(E_F) ... 3.2 states/eV per cell
DFT formation energy ... 0.303 eV per atom
E_tot ... -41.6275 eV per atom

Lattice parameters (Å, degrees): 5.350 5.350 2.659 99.06 99.06 117.71
Fractional positions:
Ta: 0.000 0.000 0.000
Ag: 0.500 0.500 0.000
Mo: 0.000 0.500 0.500
Mo: 0.500 0.000 0.500

---

Which of these has the lowest E_tot? LiTlOs3